(1)
! K2TlAu (PBE, relaxed); values from VASP
&SYSTEM
  ibrav = 0, nat = 4, ntyp = 3
/
ATOMIC_SPECIES
K 39.10 K.upf
Tl 204.38 Tl.upf
Au 196.97 Au.upf
CELL_PARAMETERS angstrom
-2.579 2.579 4.860
2.579 -2.579 4.860
2.579 2.579 -4.860
ATOMIC_POSITIONS crystal
K 0.000 0.000 0.000
K 0.750 0.250 0.500
Tl 0.250 0.750 0.500
Au 0.500 0.500 0.000
! Crystal system: tetragonal
! M_tot: 0.000 μB per atom
! Theoretical density: 6.16 g cm⁻³
! Formation energy from the elements: -0.30 eV per formula unit

(2)
! ZrMn3 (PBE, relaxed); values from VASP
&SYSTEM
  ibrav = 0, nat = 8, ntyp = 2
/
ATOMIC_SPECIES
Zr 91.22 Zr.upf
Mn 54.94 Mn.upf
CELL_PARAMETERS angstrom
-1.981 1.981 7.990
1.981 -1.981 7.990
1.981 1.981 -7.990
ATOMIC_POSITIONS crystal
Zr 0.125 0.125 0.000
Zr 0.875 0.875 0.000
Mn 0.000 0.500 0.500
Mn 0.250 0.750 0.500
Mn 0.377 0.377 0.000
Mn 0.500 0.000 0.500
Mn 0.623 0.623 0.000
Mn 0.750 0.250 0.500
! Crystal system: tetragonal
! M_tot: 2.239 μB per atom
! Theoretical density: 6.78 g cm⁻³
! Formation energy from the elements: 0.75 eV per formula unit

(3)
! Pm3In3Ge4 (PBE, relaxed); values from VASP
&SYSTEM
  ibrav = 0, nat = 10, ntyp = 3
/
ATOMIC_SPECIES
Pm 145.00 Pm.upf
In 114.82 In.upf
Ge 72.64 Ge.upf
CELL_PARAMETERS angstrom
4.391 0.000 0.000
0.000 5.447 5.111
0.000 -5.447 5.111
ATOMIC_POSITIONS crystal
Pm 0.000 0.000 0.000
Pm 0.000 0.483 0.839
Pm 0.000 0.839 0.483
In 0.000 0.344 0.344
In 0.500 0.158 0.669
In 0.500 0.669 0.158
Ge 0.500 0.039 0.287
Ge 0.500 0.287 0.039
Ge 0.500 0.542 0.542
Ge 0.500 0.791 0.791
! Crystal system: orthorhombic
! M_tot: 0.000 μB per atom
! Theoretical density: 7.27 g cm⁻³
! Formation energy from the elements: -4.94 eV per formula unit

(4)
! La2HfOsS (PBE, relaxed); values from VASP
&SYSTEM
  ibrav = 0, nat = 5, ntyp = 4
/
ATOMIC_SPECIES
La 138.91 La.upf
Hf 178.49 Hf.upf
Os 190.23 Os.upf
S 32.06 S.upf
CELL_PARAMETERS angstrom
5.370 0.000 0.000
0.000 5.370 0.000
0.000 0.000 4.669
ATOMIC_POSITIONS crystal
La 0.000 0.500 0.000
La 0.500 0.000 0.000
Hf 0.000 0.000 0.500
Os 0.500 0.500 0.500
S 0.000 0.000 0.000
! Crystal system: tetragonal
! M_tot: 0.010 μB per atom
! Calculated total energy: -0.258 Ha/atom
! Theoretical density: 8.37 g cm⁻³

(5)
! Tl2AgRhO6 (PBE, relaxed); values from VASP
&SYSTEM
  ibrav = 0, nat = 10, ntyp = 4
/
ATOMIC_SPECIES
Tl 204.38 Tl.upf
Ag 107.87 Ag.upf
Rh 102.91 Rh.upf
O 16.00 O.upf
CELL_PARAMETERS angstrom
2.850 1.645 4.817
-2.850 1.645 4.817
0.000 -3.291 4.817
ATOMIC_POSITIONS crystal
Tl 0.000 0.000 0.000
Tl 0.488 0.488 0.488
Ag 0.262 0.262 0.262
Rh 0.778 0.778 0.778
O 0.034 0.431 0.666
O 0.135 0.876 0.593
O 0.431 0.666 0.034
O 0.593 0.135 0.876
O 0.666 0.034 0.431
O 0.876 0.593 0.135
! Crystal system: trigonal
! M_tot: 0.000 μB per atom
! Calculated total energy: -0.183 Ha/atom
! Theoretical density: 8.77 g cm⁻³

(6)
! Ho4TlCdAg2 (PBE, relaxed); values from VASP
&SYSTEM
  ibrav = 0, nat = 8, ntyp = 4
/
ATOMIC_SPECIES
Ho 164.93 Ho.upf
Tl 204.38 Tl.upf
Cd 112.41 Cd.upf
Ag 107.87 Ag.upf
CELL_PARAMETERS angstrom
2.606 1.505 8.559
-2.606 1.505 8.559
0.000 -3.010 8.559
ATOMIC_POSITIONS crystal
Ho 0.124 0.124 0.124
Ho 0.374 0.374 0.374
Ho 0.626 0.626 0.626
Ho 0.876 0.876 0.876
Tl 0.500 0.500 0.500
Cd 0.000 0.000 0.000
Ag 0.254 0.254 0.254
Ag 0.746 0.746 0.746
! Crystal system: trigonal
! M_tot: 0.000 μB per atom
! Theoretical density: 9.83 g cm⁻³
! Formation energy from the elements: -2.58 eV per formula unit

(7)
! TaCrSi2 (PBE, relaxed); values from VASP
&SYSTEM
  ibrav = 0, nat = 4, ntyp = 3
/
ATOMIC_SPECIES
Ta 180.95 Ta.upf
Cr 52.00 Cr.upf
Si 28.09 Si.upf
CELL_PARAMETERS angstrom
2.656 0.000 0.000
0.000 2.656 0.000
0.000 0.000 8.261
ATOMIC_POSITIONS crystal
Ta 0.000 0.000 0.000
Cr 0.500 0.500 0.267
Si 0.000 0.000 0.478
Si 0.500 0.500 0.751
! Crystal system: tetragonal
! M_tot: 0.097 μB per atom
! Calculated total energy: -0.289 Ha/atom
! Theoretical density: 8.24 g cm⁻³

(8)
! Te3IrS (PBE, relaxed); values from VASP
&SYSTEM
  ibrav = 0, nat = 5, ntyp = 3
/
ATOMIC_SPECIES
Te 127.60 Te.upf
Ir 192.22 Ir.upf
S 32.06 S.upf
CELL_PARAMETERS angstrom
5.082 0.000 0.000
0.000 5.082 0.000
0.000 0.000 5.082
ATOMIC_POSITIONS crystal
Te 0.000 0.000 0.500
Te 0.000 0.500 0.000
Te 0.500 0.000 0.000
Ir 0.500 0.500 0.500
S 0.000 0.000 0.000
! ΔE to the lowest computed polymorph: 0.537 eV/atom
! Crystal system: cubic
! M_tot: 0.214 μB per atom
! Theoretical density: 7.68 g cm⁻³

(9)
! Li3MgCdAg (PBE, relaxed); values from VASP
&SYSTEM
  ibrav = 0, nat = 12, ntyp = 4
/
ATOMIC_SPECIES
Li 6.94 Li.upf
Mg 24.30 Mg.upf
Cd 112.41 Cd.upf
Ag 107.87 Ag.upf
CELL_PARAMETERS angstrom
7.472 0.000 0.000
0.000 3.398 0.000
-3.295 0.000 8.678
ATOMIC_POSITIONS crystal
Li 0.162 0.250 0.045
Li 0.174 0.250 0.544
Li 0.195 0.750 0.304
Li 0.805 0.250 0.696
Li 0.826 0.750 0.456
Li 0.838 0.750 0.955
Mg 0.494 0.250 0.861
Mg 0.506 0.750 0.139
Cd 0.135 0.750 0.789
Cd 0.865 0.250 0.211
Ag 0.494 0.750 0.622
Ag 0.506 0.250 0.378
! Crystal system: monoclinic
! M_tot: 0.000 μB per atom
! Theoretical density: 4.00 g cm⁻³
! Formation energy from the elements: -1.05 eV per formula unit

(10)
! TcMo3 (PBE, relaxed); values from VASP
&SYSTEM
  ibrav = 0, nat = 4, ntyp = 2
/
ATOMIC_SPECIES
Tc 98.00 Tc.upf
Mo 95.94 Mo.upf
CELL_PARAMETERS angstrom
3.145 0.000 0.000
0.000 3.145 0.000
0.000 0.000 6.292
ATOMIC_POSITIONS crystal
Tc 0.000 0.000 0.000
Mo 0.000 0.000 0.500
Mo 0.500 0.500 0.252
Mo 0.500 0.500 0.748
! ΔE to the lowest computed polymorph: 0.008 eV/atom
! Crystal system: tetragonal
! M_tot: 0.000 μB per atom
! Theoretical density: 10.29 g cm⁻³
! Formation energy from the elements: 0.12 eV per formula unit

(11)
! PuTlAu (PBE, relaxed); values from VASP
&SYSTEM
  ibrav = 0, nat = 3, ntyp = 3
/
ATOMIC_SPECIES
Pu 244.00 Pu.upf
Tl 204.38 Tl.upf
Au 196.97 Au.upf
CELL_PARAMETERS angstrom
0.000 3.483 3.483
3.483 0.000 3.483
3.483 3.483 0.000
ATOMIC_POSITIONS crystal
Pu 0.000 0.000 0.000
Tl 0.500 0.500 0.500
Au 0.250 0.250 0.250
! ΔE to the lowest computed polymorph: 0.116 eV/atom
! Crystal system: cubic
! M_tot: 1.941 μB per atom
! Theoretical density: 12.68 g cm⁻³
! Formation energy from the elements: -0.38 eV per formula unit

(12)
! OsAu (PBE, relaxed); values from VASP
&SYSTEM
  ibrav = 0, nat = 12, ntyp = 2
/
ATOMIC_SPECIES
Os 190.23 Os.upf
Au 196.97 Au.upf
CELL_PARAMETERS angstrom
8.066 0.000 0.000
-4.033 6.985 0.000
0.000 0.000 3.746
ATOMIC_POSITIONS crystal
Os 0.122 0.561 0.250
Os 0.439 0.561 0.250
Os 0.439 0.878 0.250
Os 0.561 0.122 0.750
Os 0.561 0.439 0.750
Os 0.878 0.439 0.750
Au 0.156 0.312 0.750
Au 0.156 0.844 0.750
Au 0.312 0.156 0.250
Au 0.688 0.844 0.750
Au 0.844 0.156 0.250
Au 0.844 0.688 0.250
! ΔE to the lowest computed polymorph: 0.264 eV/atom
! Crystal system: hexagonal
! M_tot: 0.000 μB per atom
! Theoretical density: 18.28 g cm⁻³
! Formation energy from the elements: 1.10 eV per formula unit